Density functional theory data (PBE-GGA) for a geometry-optimized RbCdC3S3N3 structure.

Output
The space group is P2_1/c (14). The total energy is -271.9 eV/cell.

a b c (Å): 5.709 13.129 13.479
angles (deg): 90.00 110.78 90.00
Positions (direct):
Rb  0.083  0.218  0.213
Rb  0.083  0.282  0.713
Rb  0.917  0.718  0.287
Rb  0.917  0.782  0.787
Cd  0.000  0.000  0.000
Cd  0.000  0.500  0.500
Cd  0.500  0.000  0.500
Cd  0.500  0.500  0.000
C  0.076  0.596  0.094
C  0.076  0.904  0.594
C  0.358  0.557  0.745
C  0.358  0.943  0.245
C  0.495  0.630  0.489
C  0.495  0.870  0.989
C  0.505  0.130  0.011
C  0.505  0.370  0.511
C  0.642  0.057  0.755
C  0.642  0.443  0.255
C  0.924  0.096  0.406
C  0.924  0.404  0.906
S  0.222  0.177  0.968
S  0.222  0.323  0.468
S  0.316  0.656  0.085
S  0.316  0.844  0.585
S  0.489  0.636  0.842
S  0.489  0.864  0.342
S  0.511  0.136  0.658
S  0.511  0.364  0.158
S  0.684  0.156  0.415
S  0.684  0.344  0.915
S  0.778  0.677  0.532
S  0.778  0.823  0.032
N  0.102  0.054  0.398
N  0.102  0.446  0.898
N  0.262  0.002  0.175
N  0.262  0.498  0.675
N  0.286  0.600  0.456
N  0.286  0.900  0.956
N  0.714  0.100  0.044
N  0.714  0.400  0.544
N  0.738  0.502  0.325
N  0.738  0.998  0.825
N  0.898  0.554  0.102
N  0.898  0.946  0.602

=====

Density functional theory data (PBE-GGA) for a geometry-optimized Sc4Cd2CN structure.

Output
The space group is P-3m1 (164). The total energy is -50.6 eV/cell.

a b c (Å): 3.273 3.273 15.314
angles (deg): 90.00 90.00 120.00
Positions (direct):
Sc  0.333  0.667  0.081
Sc  0.333  0.667  0.421
Sc  0.667  0.333  0.579
Sc  0.667  0.333  0.919
Cd  0.333  0.667  0.746
Cd  0.667  0.333  0.254
C  0.000  0.000  0.000
N  0.000  0.000  0.500

=====

Density functional theory data (PBE-GGA) for a geometry-optimized Sc8Cd2C3N3 structure.

Output
The space group is P-3m1 (164). The total energy is -119.9 eV/cell.

a b c (Å): 3.251 3.251 26.233
angles (deg): 90.00 90.00 120.00
Positions (direct):
Sc  0.000  0.000  0.143
Sc  0.000  0.000  0.350
Sc  0.000  0.000  0.650
Sc  0.000  0.000  0.857
Sc  0.333  0.667  0.553
Sc  0.333  0.667  0.952
Sc  0.667  0.333  0.048
Sc  0.667  0.333  0.447
Cd  0.333  0.667  0.759
Cd  0.667  0.333  0.241
C  0.000  0.000  0.500
C  0.333  0.667  0.391
C  0.667  0.333  0.609
N  0.000  0.000  0.000
N  0.333  0.667  0.101
N  0.667  0.333  0.899

=====

Density functional theory data (PBE-GGA) for a geometry-optimized Ta3CdCN structure.

Output
The space group is P-3m1 (164). The total energy is -113.9 eV/cell.

a b c (Å): 3.125 3.125 19.822
angles (deg): 90.00 90.00 120.00
Positions (direct):
Ta  0.000  0.000  0.000
Ta  0.000  0.000  0.500
Ta  0.333  0.667  0.126
Ta  0.333  0.667  0.373
Ta  0.667  0.333  0.627
Ta  0.667  0.333  0.874
Cd  0.000  0.000  0.249
Cd  0.000  0.000  0.751
C  0.333  0.667  0.567
C  0.667  0.333  0.433
N  0.333  0.667  0.936
N  0.667  0.333  0.064

=====

Density functional theory data (PBE-GGA) for a geometry-optimized Ta8Cd2C3N3 structure.

Output
The space group is P-3m1 (164). The total energy is -158.1 eV/cell.

a b c (Å): 3.123 3.123 25.015
angles (deg): 90.00 90.00 120.00
Positions (direct):
Ta  0.000  0.000  0.151
Ta  0.000  0.000  0.347
Ta  0.000  0.000  0.653
Ta  0.000  0.000  0.849
Ta  0.333  0.667  0.553
Ta  0.333  0.667  0.948
Ta  0.667  0.333  0.052
Ta  0.667  0.333  0.447
Cd  0.333  0.667  0.751
Cd  0.667  0.333  0.249
C  0.000  0.000  0.500
C  0.333  0.667  0.395
C  0.667  0.333  0.605
N  0.000  0.000  0.000
N  0.333  0.667  0.103
N  0.667  0.333  0.897

=====

Density functional theory data (PBE-GGA) for a geometry-optimized Ta4Cd2CN structure.

Output
The space group is P-3m1 (164). The total energy is -69.8 eV/cell.

a b c (Å): 3.143 3.143 14.538
angles (deg): 90.00 90.00 120.00
Positions (direct):
Ta  0.333  0.667  0.082
Ta  0.333  0.667  0.419
Ta  0.667  0.333  0.581
Ta  0.667  0.333  0.918
Cd  0.333  0.667  0.749
Cd  0.667  0.333  0.251
C  0.000  0.000  0.000
N  0.000  0.000  0.500

=====

Density functional theory data (PBE-GGA) for a geometry-optimized Cd2W8C3N3 structure.

Output
The space group is P-3m1 (164). The total energy is -153.5 eV/cell.

a b c (Å): 2.939 2.939 26.447
angles (deg): 90.00 90.00 120.00
Positions (direct):
Cd  0.333  0.667  0.244
Cd  0.667  0.333  0.756
W  0.000  0.000  0.149
W  0.000  0.000  0.337
W  0.000  0.000  0.663
W  0.000  0.000  0.851
W  0.333  0.667  0.051
W  0.333  0.667  0.445
W  0.667  0.333  0.555
W  0.667  0.333  0.949
C  0.000  0.000  0.000
C  0.333  0.667  0.897
C  0.667  0.333  0.103
N  0.000  0.000  0.500
N  0.333  0.667  0.610
N  0.667  0.333  0.390

=====

Density functional theory data (PBE-GGA) for a geometry-optimized CdW3CN structure.

Output
The space group is P-3m1 (164). The total energy is -110.9 eV/cell.

a b c (Å): 3.099 3.099 19.185
angles (deg): 90.00 90.00 120.00
Positions (direct):
Cd  0.000  0.000  0.247
Cd  0.000  0.000  0.753
W  0.000  0.000  0.000
W  0.000  0.000  0.500
W  0.333  0.667  0.121
W  0.333  0.667  0.374
W  0.667  0.333  0.626
W  0.667  0.333  0.879
C  0.333  0.667  0.568
C  0.667  0.333  0.432
N  0.333  0.667  0.937
N  0.667  0.333  0.063

=====

Which of these has the highest total energy?
Sc4Cd2CN

=====

Which of these has the lowest total energy?
RbCdC3S3N3

=====

Among the records above, which one has the highest total energy?
Sc4Cd2CN